1.
First-principles (PBE) data for crystalline TaNbTc2H at its relaxed geometry, as listed in Alexandria via LeMat-Bulk.

Properties
excess energy over the best structure of this formula in the dataset	0.0	meV per atom

The structure in CIF format:
```
data_TaNbTc2H
_chemical_formula_sum 'Ta1 Nb1 Tc2 H1'
_cell_length_a 4.4250
_cell_length_b 4.4250
_cell_length_c 3.4812
_cell_angle_alpha 90.00
_cell_angle_beta 90.00
_cell_angle_gamma 90.00
_symmetry_space_group_name_H-M 'P 4/m m m'
_symmetry_Int_Tables_number 123
_symmetry_space_group_name_Hall '-P 4 2'
loop_
_atom_site_label
_atom_site_fract_x
_atom_site_fract_y
_atom_site_fract_z
Ta1 0.0000 0.0000 0.0000
Nb1 0.5000 0.5000 0.0000
Tc1 0.0000 0.5000 0.5000
H1 0.5000 0.5000 0.5000
```

=====

2.
First-principles (PBE) data for crystalline Li2Er3Si4 at its relaxed geometry, as listed in Alexandria via LeMat-Bulk.

Properties
E_form (uncorrected)	-0.593	eV/atom

The structure in CIF format:
```
data_Li2Er3Si4
_chemical_formula_sum 'Li4 Er6 Si8'
_cell_length_a 10.5192
_cell_length_b 4.1309
_cell_length_c 8.1198
_cell_angle_alpha 90.00
_cell_angle_beta 107.74
_cell_angle_gamma 90.00
_symmetry_space_group_name_H-M 'C 1 2/m 1'
_symmetry_Int_Tables_number 12
loop_
_symmetry_equiv_pos_as_xyz
'x,y,z'
'-x,-y,-z'
'-x,y,-z'
'x,-y,z'
'x+1/2,y+1/2,z'
'-x+1/2,-y+1/2,-z'
'-x+1/2,y+1/2,-z'
'x+1/2,-y+1/2,z'
loop_
_atom_site_label
_atom_site_fract_x
_atom_site_fract_y
_atom_site_fract_z
Li1 0.1656 0.0000 0.3349
Er1 0.0000 0.5000 0.0000
Er2 0.1397 0.0000 0.6842
Si1 0.0697 0.5000 0.4016
Si2 0.2158 0.0000 0.0580
```

=====

3.
First-principles (PBE) data for crystalline TbPmScTl at its relaxed geometry, as listed in Alexandria via LeMat-Bulk.

Properties
DFT formation energy	-179	meV per atom
excess energy over the best structure of this formula in the dataset	0.0	meV per atom

The structure in CIF format:
```
data_TbPmScTl
_chemical_formula_sum 'Tb1 Pm1 Sc1 Tl1'
_cell_length_a 4.7509
_cell_length_b 4.7876
_cell_length_c 4.8353
_cell_angle_alpha 90.00
_cell_angle_beta 90.00
_cell_angle_gamma 90.00
_symmetry_space_group_name_H-M 'P m m m'
_symmetry_Int_Tables_number 47
loop_
_symmetry_equiv_pos_as_xyz
'x,y,z'
'-x,-y,-z'
'-x,-y,z'
'x,y,-z'
'x,-y,-z'
'-x,y,z'
'-x,y,-z'
'x,-y,z'
loop_
_atom_site_label
_atom_site_fract_x
_atom_site_fract_y
_atom_site_fract_z
Tb1 0.0000 0.0000 0.0000
Pm1 0.5000 0.5000 0.0000
Sc1 0.0000 0.5000 0.5000
Tl1 0.5000 0.0000 0.5000
```

=====

4.
First-principles (PBE) data for crystalline CrIn2Au at its relaxed geometry, as listed in Alexandria via LeMat-Bulk.

Properties
DFT formation energy	159	meV per atom
excess energy over the best structure of this formula in the dataset	43.0	meV per atom

The structure in CIF format:
```
data_CrIn2Au
_chemical_formula_sum 'Cr1 In2 Au1'
_cell_length_a 3.2768
_cell_length_b 3.2768
_cell_length_c 7.8283
_cell_angle_alpha 90.00
_cell_angle_beta 90.00
_cell_angle_gamma 90.00
_symmetry_space_group_name_H-M 'P 4 m m'
_symmetry_Int_Tables_number 99
loop_
_symmetry_equiv_pos_as_xyz
'x,y,z'
'-y,x,z'
'-x,-y,z'
'y,-x,z'
'-x,y,z'
'y,x,z'
'x,-y,z'
'-y,-x,z'
loop_
_atom_site_label
_atom_site_fract_x
_atom_site_fract_y
_atom_site_fract_z
Cr1 0.0000 0.0000 0.0000
In1 0.0000 0.0000 0.5525
In2 0.5000 0.5000 0.2341
Au1 0.5000 0.5000 0.8005
```

=====

5.
First-principles (PBE) data for crystalline SnW3Cl at its relaxed geometry, as listed in Alexandria via LeMat-Bulk.

Properties
E_form (uncorrected)	3.081	eV/atom
excess energy over the best structure of this formula in the dataset	1533.9	meV per atom

The structure in CIF format:
```
data_SnW3Cl
_chemical_formula_sum 'Sn1 W3 Cl1'
_cell_length_a 5.0011
_cell_length_b 5.0011
_cell_length_c 5.0011
_cell_angle_alpha 90.00
_cell_angle_beta 90.00
_cell_angle_gamma 90.00
_symmetry_space_group_name_H-M 'P m -3 m'
_symmetry_Int_Tables_number 221
_symmetry_space_group_name_Hall '-P 4 2 3'
loop_
_atom_site_label
_atom_site_fract_x
_atom_site_fract_y
_atom_site_fract_z
Sn1 0.0000 0.0000 0.0000
W1 0.0000 0.0000 0.5000
Cl1 0.5000 0.5000 0.5000
```

=====

6.
First-principles (PBE) data for crystalline YTa2N2 at its relaxed geometry, as listed in Alexandria via LeMat-Bulk.

Properties
E_form (uncorrected)	-0.185	eV/atom
excess energy over the best structure of this formula in the dataset	0.0	meV per atom

The structure in CIF format:
```
data_YTa2N2
_chemical_formula_sum 'Y2 Ta4 N4'
_cell_length_a 3.6587
_cell_length_b 3.6587
_cell_length_c 11.2802
_cell_angle_alpha 90.00
_cell_angle_beta 90.00
_cell_angle_gamma 90.00
_symmetry_space_group_name_H-M 'I 4/m m m'
_symmetry_Int_Tables_number 139
_symmetry_space_group_name_Hall '-I 4 2'
loop_
_atom_site_label
_atom_site_fract_x
_atom_site_fract_y
_atom_site_fract_z
Y1 0.0000 0.0000 0.0000
Ta1 0.0000 0.5000 0.2500
N1 0.0000 0.0000 0.3724
```

=====

| no. | raw total energy (eV/atom) |
| --- | --- |
| 1 | -9.258 |
| 2 | -4.949 |
| 3 | -4.699 |
| 4 | -4.436 |
| 5 | -5.861 |
| 6 | -9.549 |